[1]
Nd4AlOs | Alexandria | PBE | relaxed; ΔE to the lowest computed polymorph = 0.000 eV per formula unit; formation energy from the elements = -0.20 eV per atom; crystal system = cubic; raw total energy = -5.875 eV/atom; total magnetic moment = 0.00 μB/f.u.
1.0
8.527 0.000 4.923
2.842 8.039 4.923
0.000 0.000 9.846
Al Nd Os
4 16 4
direct
0.474 0.175 0.175
0.175 0.175 0.474
0.175 0.474 0.175
0.175 0.175 0.175
0.809 0.809 0.191
0.191 0.809 0.191
0.809 0.191 0.809
0.401 0.796 0.401
0.809 0.191 0.191
0.554 0.946 0.554
0.554 0.554 0.946
0.796 0.401 0.401
0.946 0.554 0.946
0.191 0.191 0.809
0.946 0.554 0.554
0.401 0.401 0.401
0.191 0.809 0.809
0.401 0.401 0.796
0.554 0.946 0.946
0.946 0.946 0.554
0.163 0.612 0.612
0.612 0.612 0.612
0.612 0.612 0.163
0.612 0.163 0.612

[2]
Nd3Al3Os2 | Alexandria | PBE | relaxed; formation energy from the elements = -0.37 eV per atom; crystal system = orthorhombic; raw total energy = -6.365 eV/atom; total magnetic moment = 0.00 μB/f.u.
1.0
-0.586 2.724 5.276
0.277 -6.974 3.632
15.341 1.179 1.096
Al Nd Os
12 12 8
direct
0.097 0.158 0.965
0.597 0.342 0.035
0.897 0.830 0.750
0.903 0.842 0.035
0.903 0.842 0.465
0.603 0.330 0.750
0.403 0.658 0.965
0.397 0.670 0.250
0.103 0.170 0.250
0.597 0.342 0.465
0.097 0.158 0.535
0.403 0.658 0.535
0.377 0.676 0.750
0.603 0.035 0.607
0.623 0.324 0.250
0.877 0.824 0.250
0.103 0.465 0.393
0.123 0.176 0.750
0.603 0.035 0.893
0.103 0.465 0.107
0.897 0.535 0.893
0.397 0.965 0.107
0.897 0.535 0.607
0.397 0.965 0.393
0.628 0.636 0.105
0.872 0.136 0.105
0.128 0.864 0.895
0.872 0.136 0.395
0.372 0.364 0.605
0.628 0.636 0.395
0.372 0.364 0.895
0.128 0.864 0.605

[3]
NdAl2Os | Alexandria | PBE | relaxed; formation energy from the elements = -0.39 eV per atom; crystal system = trigonal; raw total energy = -6.263 eV/atom; total magnetic moment = 0.00 μB/f.u.
1.0
-2.730 3.286 0.140
-3.689 -0.193 -2.150
-4.477 -1.090 3.532
Al Nd Os
2 1 1
direct
0.295 0.295 0.115
0.705 0.705 0.885
0.500 0.500 0.500
0.000 0.000 0.000

[4]
NdAl2Os | Alexandria | PBE | relaxed; formation energy from the elements = -0.34 eV per atom; crystal system = tetragonal; raw total energy = -6.214 eV/atom; total magnetic moment = 0.00 μB/f.u.
1.0
3.171 0.000 0.000
0.000 3.171 0.000
0.000 0.000 7.465
Al Nd Os
2 1 1
direct
0.000 0.000 0.819
0.000 0.000 0.181
0.500 0.500 0.500
0.500 0.500 0.000

[5]
Nd4AlOs | Alexandria | PBE | relaxed; ΔE to the lowest computed polymorph = 0.224 eV per formula unit; formation energy from the elements = -0.16 eV per atom; crystal system = monoclinic; raw total energy = -5.838 eV/atom; total magnetic moment = 0.00 μB/f.u.
1.0
-2.797 0.029 -5.605
-5.880 -0.185 6.896
4.231 6.801 -0.557
Nd Al Os
8 2 2
direct
0.392 0.940 0.657
0.756 0.363 0.150
0.765 0.717 0.657
0.106 0.213 0.850
0.235 0.283 0.343
0.608 0.060 0.343
0.894 0.787 0.150
0.244 0.637 0.850
0.373 0.623 0.247
0.627 0.377 0.753
0.249 0.999 0.999
0.751 0.001 0.001

[6]
NdAl3Os2 | Alexandria | PBE | relaxed; formation energy from the elements = -0.43 eV per atom; crystal system = orthorhombic; raw total energy = -6.834 eV/atom; total magnetic moment = 0.00 μB/f.u.
1.0
5.379 0.000 0.000
0.000 6.444 0.516
0.000 -1.639 6.253
Nd Al Os
2 6 4
direct
0.250 0.344 0.344
0.750 0.656 0.656
0.250 0.912 0.545
0.750 0.045 0.045
0.750 0.455 0.088
0.750 0.088 0.455
0.250 0.545 0.912
0.250 0.955 0.955
0.500 0.217 0.783
0.000 0.217 0.783
0.000 0.783 0.217
0.500 0.783 0.217

[7]
Nd6AlOs2 | Alexandria | PBE | relaxed; formation energy from the elements = -0.16 eV per atom; crystal system = orthorhombic; raw total energy = -6.245 eV/atom; total magnetic moment = 0.00 μB/f.u.
1.0
8.155 -0.071 -3.080
-4.308 7.202 -2.358
-0.189 0.071 8.715
Os Nd Al
4 12 2
direct
0.683 0.000 0.683
0.500 0.382 0.882
0.500 0.618 0.118
0.317 0.000 0.317
0.540 0.723 0.817
0.686 0.357 0.671
0.094 0.277 0.817
0.801 0.243 0.045
0.906 0.723 0.183
0.686 0.014 0.329
0.460 0.277 0.183
0.199 0.243 0.442
0.199 0.757 0.955
0.314 0.643 0.329
0.314 0.986 0.671
0.801 0.757 0.558
0.000 0.000 0.000
0.000 0.500 0.500

[8]
NdAl4OsPd2 | Alexandria | PBE | relaxed; formation energy from the elements = -0.67 eV per atom; crystal system = trigonal; raw total energy = -5.836 eV/atom; total magnetic moment = 0.00 μB/f.u.
1.0
4.261 0.000 0.000
2.130 3.690 0.000
2.130 1.230 9.033
Pd Al Nd Os
2 4 1 1
direct
0.766 0.766 0.703
0.234 0.234 0.297
0.136 0.136 0.592
0.864 0.864 0.408
0.406 0.406 0.783
0.594 0.594 0.217
0.000 0.000 0.000
0.500 0.500 0.500

[9]
NdAlSi2Os | Alexandria | PBE | relaxed; crystal system = tetragonal; raw total energy = -6.730 eV/atom; total magnetic moment = 0.00 μB/f.u.
1.0
-1.415 3.651 0.690
-1.892 -1.344 3.229
6.060 -0.023 1.092
Nd Si Os Al
1 2 1 1
direct
0.000 0.000 0.000
0.387 0.387 0.774
0.613 0.613 0.226
0.250 0.750 0.500
0.750 0.250 0.500

[10]
NdAlSiOs | Alexandria | PBE | relaxed; crystal system = trigonal; raw total energy = -6.745 eV/atom; total magnetic moment = 0.00 μB/f.u.
1.0
4.208 0.000 0.000
2.104 3.644 0.000
2.104 1.215 5.360
Nd Os Si Al
1 1 1 1
direct
0.817 0.817 0.548
0.622 0.622 0.135
0.272 0.272 0.184
0.015 0.015 0.956

[11]
NdAlP | Alexandria | PBE | relaxed; formation energy from the elements = -0.78 eV per atom; crystal system = trigonal; raw total energy = -5.421 eV/atom; total magnetic moment = 0.00 μB/f.u.
1.0
-0.714 3.294 3.419
1.501 -0.831 4.484
7.066 4.040 0.954
P Al Nd
2 2 2
direct
0.281 0.281 0.156
0.719 0.719 0.844
0.822 0.822 0.535
0.178 0.178 0.465
0.406 0.406 0.783
0.594 0.594 0.217

[12]
Nd2AlP | Alexandria | PBE | relaxed; formation energy from the elements = -0.38 eV per atom; crystal system = trigonal; raw total energy = -5.053 eV/atom; total magnetic moment = 0.00 μB/f.u.
1.0
-3.124 2.087 -0.964
-3.408 -0.705 1.713
-0.001 6.952 7.251
Nd P Al
2 1 1
direct
0.891 0.891 0.328
0.109 0.109 0.672
0.500 0.500 0.500
0.000 0.000 0.000

[13]
NdAlP2 | Alexandria | PBE | relaxed; formation energy from the elements = -0.43 eV per atom; crystal system = trigonal; raw total energy = -5.263 eV/atom; total magnetic moment = 0.00 μB/f.u.
1.0
-0.033 -4.506 -0.068
2.281 -2.317 3.120
-5.019 -2.296 5.219
P Al Nd
2 1 1
direct
0.102 0.102 0.694
0.898 0.898 0.306
0.000 0.000 0.000
0.500 0.500 0.500

[14]
Nd3AlP2Pt9 | Alexandria | PBE | relaxed; formation energy from the elements = -0.78 eV per atom; crystal system = trigonal; raw total energy = -6.327 eV/atom; total magnetic moment = 0.00 μB/f.u.
1.0
-2.602 3.091 -4.916
-1.796 -5.960 1.321
-6.308 3.069 5.268
Nd Pt P Al
3 9 2 1
direct
0.333 0.667 0.674
0.000 0.000 0.000
0.667 0.333 0.326
0.146 0.293 0.284
0.500 0.500 0.000
0.854 0.707 0.716
0.293 0.146 0.716
0.000 0.500 0.000
0.707 0.854 0.284
0.146 0.854 0.284
0.854 0.146 0.716
0.500 0.000 0.000
0.667 0.333 0.821
0.333 0.667 0.179
0.000 0.000 0.500

[15]
NdAlP2Rh5 | Alexandria | PBE | relaxed; formation energy from the elements = -0.81 eV per atom; crystal system = tetragonal; raw total energy = -7.039 eV/atom; total magnetic moment = 0.00 μB/f.u.
1.0
-0.229 2.612 3.138
-3.995 -0.793 0.369
1.956 -7.060 6.018
Rh Nd Al P
5 1 1 2
direct
0.500 0.000 0.842
0.000 0.500 0.842
0.000 0.500 0.158
0.500 0.500 0.500
0.500 0.000 0.158
0.000 0.000 0.500
0.000 0.000 0.000
0.500 0.500 0.262
0.500 0.500 0.738

[16]
Nd2PaAl | Alexandria | PBE | relaxed; ΔE to the lowest computed polymorph = 0.748 eV per formula unit; formation energy from the elements = 0.21 eV per atom; crystal system = cubic; raw total energy = -5.485 eV/atom; total magnetic moment = 0.00 μB/f.u.
1.0
5.366 0.000 0.000
2.683 4.647 0.000
2.683 1.549 4.381
Al Nd Pa
1 2 1
direct
0.500 0.500 0.500
0.250 0.250 0.250
0.750 0.750 0.750
0.000 0.000 0.000

[17]
NdPaAl | Alexandria | PBE | relaxed; ΔE to the lowest computed polymorph = 0.769 eV per formula unit; formation energy from the elements = 0.17 eV per atom; crystal system = trigonal; raw total energy = -5.827 eV/atom; total magnetic moment = 0.00 μB/f.u.
1.0
-1.492 2.514 0.926
-3.067 -0.275 -4.194
-1.373 -2.431 4.391
Al Pa Nd
1 1 1
direct
0.668 0.667 0.333
0.168 0.333 0.667
0.164 0.000 0.000

[18]
NdPaAl | Alexandria | PBE | relaxed; ΔE to the lowest computed polymorph = 0.641 eV per formula unit; formation energy from the elements = 0.13 eV per atom; crystal system = tetragonal; raw total energy = -5.870 eV/atom; total magnetic moment = 0.00 μB/f.u.
1.0
3.949 0.000 0.000
0.000 3.949 0.000
-1.975 -1.975 4.934
Al Nd Pa
1 1 1
direct
0.614 0.614 0.228
0.272 0.272 0.543
0.964 0.964 0.929

[19]
NdPa2Al9 | Alexandria | PBE | relaxed; formation energy from the elements = -0.29 eV per atom; crystal system = tetragonal; raw total energy = -5.078 eV/atom; total magnetic moment = 0.00 μB/f.u.
1.0
-3.115 2.955 0.471
-1.579 -2.201 3.365
7.655 6.788 8.031
Pa Al Nd
2 9 1
direct
0.000 0.000 0.335
0.000 0.000 0.665
0.500 0.500 0.000
0.500 0.500 0.666
0.500 0.000 0.830
0.000 0.500 0.170
0.000 0.500 0.500
0.500 0.500 0.334
0.500 0.000 0.500
0.500 0.000 0.170
0.000 0.500 0.830
0.000 0.000 0.000

[20]
NdPaAl | Alexandria | PBE | relaxed; ΔE to the lowest computed polymorph = 0.000 eV per formula unit; formation energy from the elements = -0.08 eV per atom; crystal system = hexagonal; raw total energy = -6.084 eV/atom; total magnetic moment = 0.50 μB/f.u.
1.0
4.916 0.000 0.000
0.000 7.606 0.000
0.000 -3.803 6.587
Al Nd Pa
3 3 3
direct
0.500 0.667 0.333
0.500 0.333 0.667
0.000 0.000 0.000
0.000 0.000 0.430
0.000 0.430 0.000
0.000 0.570 0.570
0.500 0.000 0.789
0.500 0.789 0.000
0.500 0.211 0.211